No. 1
{"formula": "HfTcAs", "functional": "GGA-PBE", "state": "relaxed", "lattice": [[-5.0929, 4.5896, -0.0786], [-2.0968, -2.4399, -6.6038], [0.0141, -5.0039, 5.9298]], "species": ["As", "As", "As", "As", "As", "As", "Hf", "Hf", "Hf", "Hf", "Hf", "Hf", "Tc", "Tc", "Tc", "Tc", "Tc", "Tc"], "frac_coords": [[0.7677, 0.7732, 0.0464], [0.7213, 0.2268, 0.9536], [0.4224, 0.6640, 0.3347], [0.0878, 0.3360, 0.6653], [0.4224, 0.1707, 0.3347], [0.0878, 0.8293, 0.6653], [0.1516, 0.4462, 0.3924], [0.3394, 0.2484, 0.9968], [0.7546, 0.0363, 0.5725], [0.3425, 0.7516, 0.0032], [0.1821, 0.9637, 0.4275], [0.7593, 0.5538, 0.6076], [0.7546, 0.1526, 0.2497], [0.5050, 0.8474, 0.7503], [0.0007, 0.0000, 0.0000], [0.5050, 0.4029, 0.7503], [0.7546, 0.5971, 0.2497], [0.0007, 0.5000, 0.0000]], "de_polymorph_ev_per_atom": 0.000, "density_g_cm3": 11.8, "space_group": "Ima2 (46)", "dft_energy_ha_per_atom": -0.3334}

No. 2
{"formula": "IrRu", "functional": "GGA-PBE", "state": "relaxed", "lattice": [[2.1391, -3.7051, 0.0000], [2.1391, 3.7051, 0.0000], [0.0000, 0.0000, 7.9310]], "species": ["Ir", "Ir", "Ir", "Ir", "Ru", "Ru", "Ru", "Ru"], "frac_coords": [[0.3333, 0.6667, 0.2500], [0.0000, 0.0000, 0.2500], [0.6667, 0.3333, 0.7500], [0.0000, 0.0000, 0.7500], [0.3333, 0.6667, 0.9070], [0.6667, 0.3333, 0.0930], [0.3333, 0.6667, 0.5930], [0.6667, 0.3333, 0.4070]], "de_polymorph_ev_per_atom": 0.521, "density_g_cm3": 15.5, "space_group": "P6_3/mmc (194)", "dft_energy_ha_per_atom": -0.3161}

Copy entry 1 word for word.
{"formula": "HfTcAs", "functional": "GGA-PBE", "state": "relaxed", "lattice": [[-5.0929, 4.5896, -0.0786], [-2.0968, -2.4399, -6.6038], [0.0141, -5.0039, 5.9298]], "species": ["As", "As", "As", "As", "As", "As", "Hf", "Hf", "Hf", "Hf", "Hf", "Hf", "Tc", "Tc", "Tc", "Tc", "Tc", "Tc"], "frac_coords": [[0.7677, 0.7732, 0.0464], [0.7213, 0.2268, 0.9536], [0.4224, 0.6640, 0.3347], [0.0878, 0.3360, 0.6653], [0.4224, 0.1707, 0.3347], [0.0878, 0.8293, 0.6653], [0.1516, 0.4462, 0.3924], [0.3394, 0.2484, 0.9968], [0.7546, 0.0363, 0.5725], [0.3425, 0.7516, 0.0032], [0.1821, 0.9637, 0.4275], [0.7593, 0.5538, 0.6076], [0.7546, 0.1526, 0.2497], [0.5050, 0.8474, 0.7503], [0.0007, 0.0000, 0.0000], [0.5050, 0.4029, 0.7503], [0.7546, 0.5971, 0.2497], [0.0007, 0.5000, 0.0000]], "de_polymorph_ev_per_atom": 0.000, "density_g_cm3": 11.8, "space_group": "Ima2 (46)", "dft_energy_ha_per_atom": -0.3334}